No. 1
Here is an optimized crystal structure of InMo2N from the Alexandria database. Energies are from PBE.

abc: 5.304 5.304 10.789
angles: 90.00 90.00 90.00
Positions (direct):
In1 0.000 0.000 0.000
In2 0.000 0.500 0.250
In3 0.500 0.000 0.750
In4 0.500 0.500 0.500
Mo1 0.095 0.250 0.625
Mo2 0.250 0.595 0.875
Mo3 0.250 0.905 0.375
Mo4 0.405 0.250 0.125
Mo5 0.595 0.750 0.125
Mo6 0.750 0.095 0.375
Mo7 0.750 0.405 0.875
Mo8 0.905 0.750 0.625
N1 0.000 0.000 0.500
N2 0.000 0.500 0.750
N3 0.500 0.000 0.250
N4 0.500 0.500 0.000

Summary:
DOS(E_F)   0.631 states/eV/atom
Polymorph energy (0 for the lowest one)   0.318 eV per atom
SG   I-42d (122)
Formation energy from raw total energies   0.542 eV/atom
Crystal system   tetragonal

No. 2
Here is an optimized crystal structure of Pa5Ti2S12 from the Alexandria database. Energies are from PBE.

abc: 8.313 8.313 8.443
angles: 104.98 104.98 48.90
Positions (direct):
Pa1 0.000 0.000 0.000
Pa2 0.310 0.310 0.162
Pa3 0.319 0.319 0.650
Pa4 0.681 0.681 0.350
Pa5 0.690 0.690 0.838
Ti1 0.286 0.714 0.500
Ti2 0.714 0.286 0.500
S1 0.002 0.002 0.303
S2 0.074 0.593 0.413
S3 0.095 0.600 0.927
S4 0.400 0.905 0.073
S5 0.407 0.926 0.587
S6 0.496 0.496 0.264
S7 0.504 0.504 0.736
S8 0.593 0.074 0.413
S9 0.600 0.095 0.927
S10 0.905 0.400 0.073
S11 0.926 0.407 0.587
S12 0.998 0.998 0.697

Summary:
DOS(E_F)   1.144 states/eV/atom
SG   C2/m (12)
Formation energy from raw total energies   -1.534 eV/atom
Crystal system   monoclinic

No. 3
Here is an optimized crystal structure of CaPaPdRu from the Alexandria database. Energies are from PBE.

abc: 6.902 6.902 6.902
angles: 90.00 90.00 90.00
Positions (direct):
Ca1 0.000 0.000 0.000
Ca2 0.000 0.500 0.500
Ca3 0.500 0.000 0.500
Ca4 0.500 0.500 0.000
Pa1 0.000 0.000 0.500
Pa2 0.000 0.500 0.000
Pa3 0.500 0.000 0.000
Pa4 0.500 0.500 0.500
Pd1 0.250 0.250 0.750
Pd2 0.250 0.750 0.250
Pd3 0.750 0.250 0.250
Pd4 0.750 0.750 0.750
Ru1 0.250 0.250 0.250
Ru2 0.250 0.750 0.750
Ru3 0.750 0.250 0.750
Ru4 0.750 0.750 0.250

Summary:
DOS(E_F)   0.927 states/eV/atom
Energy of formation   -28.5 kJ/mol of atoms
SG   F-43m (216)
Crystal system   cubic

No. 4
Here is an optimized crystal structure of CeHoRuPb from the Alexandria database. Energies are from PBE.

abc: 3.392 3.392 8.462
angles: 90.00 90.00 90.00
Positions (direct):
Ce1 0.000 0.000 0.000
Ho1 0.000 0.000 0.594
Ru1 0.500 0.500 0.795
Pb1 0.500 0.500 0.303

Summary:
DOS(E_F)   1.053 states/eV/atom
Energy of formation   -42.2 kJ/mol of atoms
SG   P4mm (99)
Crystal system   tetragonal

No. 5
Here is an optimized crystal structure of La2MgSbO6 from the Alexandria database. Energies are from PBE.

abc: 5.746 5.746 5.746
angles: 61.18 61.18 61.18
Positions (direct):
La1 0.244 0.244 0.244
La2 0.756 0.756 0.756
Mg1 0.000 0.000 0.000
Sb1 0.500 0.500 0.500
O1 0.153 0.759 0.343
O2 0.241 0.657 0.847
O3 0.343 0.153 0.759
O4 0.657 0.847 0.241
O5 0.759 0.343 0.153
O6 0.847 0.241 0.657

Summary:
DOS(E_F)   0.404 states/eV/atom
SG   R-3 (148)
Formation energy from raw total energies   -2.601 eV/atom
Crystal system   trigonal

No. 6
Here is an optimized crystal structure of CdGaSeBr2 from the Alexandria database. Energies are from PBE.

abc: 5.566 5.566 5.303
angles: 90.00 90.00 90.00
Positions (direct):
Cd1 0.000 0.000 0.000
Ga1 0.500 0.500 0.500
Se1 0.000 0.000 0.500
Br1 0.000 0.500 0.000
Br2 0.500 0.000 0.000

Summary:
DOS(E_F)   0.904 states/eV/atom
Polymorph energy (0 for the lowest one)   0.004 eV per atom
SG   P4/mmm (123)
Formation energy from raw total energies   -0.187 eV/atom
Crystal system   tetragonal